[1]
The following is a DFT calculation (PBE-GGA) of a geometry-optimized PmSmEr6 structure.

- DFT formation energy: 2.969 eV per formula unit
- ΔE to the lowest computed polymorph: 121 meV per atom

abc: 10.1216 6.6950 8.4884
angles: 90.00 104.96 90.00
With the nearest neighbours (Å) after each atom.
Space group C2/m (No. 12)
Asymmetric unit:
Pm 0.0000 0.0000 0.0000 (multiplicity 2)  8 Er 3.42-3.49
Sm 0.0000 0.0000 0.5000 (multiplicity 2)  6 Er 3.29-3.68
Er 0.1250 0.5000 0.4234 (multiplicity 4)  5 Er 3.13-3.48
Er 0.1975 0.2590 0.7989 (multiplicity 8)  5 Er 3.23-3.48, 1 Sm 3.29, 2 Pm 3.42-3.49

[2]
The following is a DFT calculation (PBE-GGA) of a geometry-optimized YMgMn2 structure.

- DFT formation energy: 0.991 eV per formula unit

abc: 3.3140 4.8012 9.8529
angles: 90.00 90.00 90.00
With the nearest neighbours (Å) after each atom.
Space group Imm2 (No. 44)
Asymmetric unit:
Y 0.0000 0.0000 0.0000 (multiplicity 2)  8 Mn 2.95-3.24, 4 Mg 3.21-3.25
Mg 0.0000 0.5000 0.7842 (multiplicity 2)  6 Mn 2.98-3.06, 4 Y 3.21-3.25, 2 Mg 3.31
Mn 0.0000 0.0000 0.5448 (multiplicity 2)  2 Mn 2.40
Mn 0.0000 0.5000 0.2204 (multiplicity 2)  2 Mn 2.40

[3]
The following is a DFT calculation (PBE-GGA) of a geometry-optimized NdHfAu2 structure.

- DFT formation energy: -2.301 eV per formula unit
- ΔE to the lowest computed polymorph: 0 meV per atom

abc: 3.4748 3.4748 7.4293
angles: 90.00 90.00 90.00
With the nearest neighbours (Å) after each atom.
Space group P4/mmm (No. 123)
Asymmetric unit:
Nd 0.0000 0.0000 0.0000 (multiplicity 1)  8 Au 3.28, 4 Nd 3.47
Hf 0.0000 0.0000 0.5000 (multiplicity 1)  8 Au 2.90
Au 0.5000 0.5000 0.2929 (multiplicity 2)  4 Hf 2.90, 1 Au 3.08

[4]
The following is a DFT calculation (PBE-GGA) of a geometry-optimized GeAsN3 structure.

- E_form (uncorrected): 33.165 kcal/mol of atoms

abc: 3.7873 3.7873 3.7873
angles: 90.00 90.00 90.00
With the nearest neighbours (Å) after each atom.
Space group Pm-3m (No. 221)
Asymmetric unit:
Ge 0.0000 0.0000 0.0000 (multiplicity 1)  12 N 2.68
As 0.5000 0.5000 0.5000 (multiplicity 1)  6 N 1.89
N 0.0000 0.5000 0.5000 (multiplicity 3)  2 As 1.89

[5]
The following is a DFT calculation (PBE-GGA) of a geometry-optimized NdZrRh structure.

- DFT formation energy: -1.674 eV per formula unit
- ΔE to the lowest computed polymorph: 0 meV per atom

abc: 4.6885 4.6885 6.6929
angles: 90.00 90.00 90.00
With the nearest neighbours (Å) after each atom.
Space group P4/nmm (No. 129, origin choice 2)
Asymmetric unit:
Nd 0.2500 0.2500 0.1258 (multiplicity 2)  1 Rh 2.86
Zr 0.2500 0.7500 0.5000 (multiplicity 2)  4 Rh 2.69
Rh 0.2500 0.2500 0.6978 (multiplicity 2)  4 Zr 2.69, 1 Nd 2.86

[6]
The following is a DFT calculation (PBE-GGA) of a geometry-optimized KGaC structure.

- DFT formation energy: 1.371 eV per formula unit

abc: 10.3947 6.8249 6.8344
angles: 90.00 90.00 90.00
With the nearest neighbours (Å) after each atom.
Space group Cmce (No. 64)
Asymmetric unit:
K 0.1876 0.0000 0.0000 (multiplicity 8)  6 C 3.23-3.58, 6 Ga 3.27-3.53
Ga 0.0000 0.1422 0.3575 (multiplicity 8)  3 C 1.96-2.03
C 0.0000 0.1553 0.6545 (multiplicity 8)  3 Ga 1.96-2.03

[7]
The following is a DFT calculation (PBE-GGA) of a geometry-optimized MnFe2Cu structure.

- DFT formation energy: 2.507 eV per formula unit

abc: 6.4522 6.4522 4.8977
angles: 90.00 90.00 90.00
With the nearest neighbours (Å) after each atom.
Space group I-42d (No. 122)
Asymmetric unit:
Mn 0.0000 0.0000 0.0000 (multiplicity 4)  4 Fe 2.29, 2 Cu 2.45
Fe 0.2333 0.2500 0.1250 (multiplicity 8)  2 Mn 2.29, 2 Cu 2.44, 2 Fe 2.46
Cu 0.0000 0.0000 0.5000 (multiplicity 4)  4 Fe 2.44, 2 Mn 2.45

[8]
The following is a DFT calculation (PBE-GGA) of a geometry-optimized PuZr6Sc structure.

- DFT formation energy: 1.635 eV per formula unit
- ΔE to the lowest computed polymorph: 172 meV per atom

abc: 10.2953 10.2953 6.1404
angles: 90.00 90.00 120.00
With the nearest neighbours (Å) after each atom.
Space group R-3m (No. 166, hexagonal axes)
Asymmetric unit:
Pu 0.0000 0.0000 0.0000 (multiplicity 3)  6 Zr 2.96, 2 Sc 3.07
Zr 0.0066 0.5033 0.7522 (multiplicity 18)  1 Pu 2.96, 6 Zr 3.04-3.19, 1 Sc 3.07
Sc 0.0000 0.0000 0.5000 (multiplicity 3)  2 Pu 3.07, 6 Zr 3.07

[9]
The following is a DFT calculation (PBE-GGA) of a geometry-optimized Pu2NpSe3 structure.

- E_form (uncorrected): -31.477 kcal/mol of atoms

abc: 4.1338 5.8482 12.4009
angles: 90.00 90.00 90.00
With the nearest neighbours (Å) after each atom.
Space group Immm (No. 71)
Asymmetric unit:
Pu 0.0000 0.0000 0.1670 (multiplicity 4)  6 Se 2.92-2.93
Np 0.0000 0.0000 0.5000 (multiplicity 2)  6 Se 2.91-2.92
Se 0.0000 0.5000 0.1654 (multiplicity 4)  2 Np 2.91, 4 Pu 2.92-2.93
Se 0.0000 0.5000 0.5000 (multiplicity 2)  2 Np 2.92, 4 Pu 2.93

[10]
The following is a DFT calculation (PBE-GGA) of a geometry-optimized NpInSn structure.

- DFT formation energy: 0.167 eV per formula unit
- ΔE to the lowest computed polymorph: 3 meV per atom

abc: 5.3447 5.3447 3.0331
angles: 90.00 90.00 120.00
With the nearest neighbours (Å) after each atom.
Space group P-6m2 (No. 187)
Asymmetric unit:
Np 0.0000 0.0000 0.0000 (multiplicity 1)  2 Np 3.03
In 0.6667 0.3333 0.5000 (multiplicity 1)  2 In 3.03, 3 Sn 3.09
Sn 0.3333 0.6667 0.5000 (multiplicity 1)  2 Sn 3.03, 3 In 3.09

[11]
The following is a DFT calculation (PBE-GGA) of a geometry-optimized Pm2Zn15Os2 structure.

- DFT formation energy: -2.969 eV per formula unit

abc: 8.9925 8.9925 13.1571
angles: 90.00 90.00 120.00
With the nearest neighbours (Å) after each atom.
Space group R-3m (No. 166, hexagonal axes)
Asymmetric unit:
Pm 0.0000 0.0000 0.1631 (multiplicity 6)  1 Os 3.17, 18 Zn 3.23-3.52
Zn 0.0000 0.2869 0.5000 (multiplicity 18)  8 Zn 2.57-2.76, 2 Os 2.87
Zn 0.0000 0.5000 0.0000 (multiplicity 9)  8 Zn 2.57-2.59, 2 Os 2.76
Zn 0.0024 0.5012 0.3490 (multiplicity 18)  8 Zn 2.59-2.76, 1 Os 2.81
Os 0.0000 0.0000 0.4036 (multiplicity 6)  1 Os 2.54, 6 Zn 2.76-2.81

[12]
The following is a DFT calculation (PBE-GGA) of a geometry-optimized Ti3Ga6Tc structure.

- DFT formation energy: -1.307 eV per formula unit

abc: 9.3427 5.2020 7.9226
angles: 90.00 119.45 90.00
With the nearest neighbours (Å) after each atom.
Space group C2/m (No. 12)
Asymmetric unit:
Ti 0.0000 0.0000 0.0000 (multiplicity 2)  6 Ga 2.60-2.80
Ti 0.1318 0.0000 0.7106 (multiplicity 4)  7 Ga 2.68-2.93
Ga 0.1330 0.2488 0.3266 (multiplicity 8)  4 Ga 2.53-2.80, 3 Ti 2.60-2.69, 1 Tc 2.61
Ga 0.1678 0.5000 0.8987 (multiplicity 4)  4 Ti 2.72-2.93, 1 Tc 2.75, 2 Ga 2.80
Tc 0.0000 0.5000 0.5000 (multiplicity 2)  6 Ga 2.61-2.75

[13]
The following is a DFT calculation (PBE-GGA) of a geometry-optimized Ga2HgO structure.

- ΔE to the lowest computed polymorph: 0 meV per atom
- E_form (uncorrected): -10.308 kcal/mol of atoms

abc: 6.0316 6.0316 8.6929
angles: 90.00 90.00 90.00
With the nearest neighbours (Å) after each atom.
Space group I-42d (No. 122)
Asymmetric unit:
Ga 0.1695 0.2500 0.1250 (multiplicity 8)  2 O 2.12
Hg 0.0000 0.0000 0.5000 (multiplicity 4)  4 Ga 2.73
O 0.0000 0.0000 0.0000 (multiplicity 4)  4 Ga 2.12

[14]
The following is a DFT calculation (PBE-GGA) of a geometry-optimized Sc2InPd6 structure.

- DFT formation energy: -5.157 eV per formula unit

abc: 14.2687 7.3626 3.0384
angles: 90.00 90.38 90.00
With the nearest neighbours (Å) after each atom.
Space group C2/m (No. 12)
Asymmetric unit:
Sc 0.1859 0.0000 0.4963 (multiplicity 4)  10 Pd 2.74-3.02, 2 Sc 3.04
In 0.0000 0.5000 0.0000 (multiplicity 2)  8 Pd 2.71-2.78
Pd 0.0000 0.1843 0.5000 (multiplicity 4)  7 Pd 2.71-3.04, 2 In 2.78, 2 Sc 2.98
Pd 0.1611 0.3060 0.9978 (multiplicity 8)  4 Pd 2.67-2.91, 1 In 2.71, 2 Sc 2.74

[15]
The following is a DFT calculation (PBE-GGA) of a geometry-optimized KSiPCl2 structure.

- ΔE to the lowest computed polymorph: 1203 meV per atom
- E_form (uncorrected): 16.720 kcal/mol of atoms

abc: 5.5636 5.5636 5.9206
angles: 90.00 90.00 90.00
With the nearest neighbours (Å) after each atom.
Space group P4/mmm (No. 123)
Asymmetric unit:
K 0.0000 0.0000 0.0000 (multiplicity 1)  4 Cl 2.78, 2 P 2.96
Si 0.5000 0.5000 0.5000 (multiplicity 1)  4 P 3.93, 8 Cl 4.06
P 0.0000 0.0000 0.5000 (multiplicity 1)  2 K 2.96
Cl 0.0000 0.5000 0.0000 (multiplicity 2)  2 K 2.78

[16]
The following is a DFT calculation (PBE-GGA) of a geometry-optimized SrUPdO6 structure.

- E_form (uncorrected): -51.196 kcal/mol of atoms

abc: 5.4162 5.4162 11.0140
angles: 90.00 90.00 120.00
With the nearest neighbours (Å) after each atom.
Space group P-31c (No. 163)
Asymmetric unit:
Sr 0.0000 0.0000 0.0000 (multiplicity 2)  6 O 2.55
U 0.3333 0.6667 0.2500 (multiplicity 2)  6 O 2.10
Pd 0.3333 0.6667 0.7500 (multiplicity 2)  6 O 2.05
O 0.0070 0.3668 0.6467 (multiplicity 12)  1 Pd 2.05, 1 U 2.10

[17]
The following is a DFT calculation (PBE-GGA) of a geometry-optimized SbAuCl2 structure.

- ΔE to the lowest computed polymorph: 235 meV per atom
- E_form (uncorrected): -4.882 kcal/mol of atoms

abc: 3.4565 4.7956 14.4613
angles: 90.00 90.00 90.00
With the nearest neighbours (Å) after each atom.
Space group Immm (No. 71)
Asymmetric unit:
Sb 0.0000 0.0000 0.0000 (multiplicity 2)  4 Cl 2.76, 4 Au 2.96
Au 0.0000 0.0000 0.5000 (multiplicity 2)  4 Sb 2.96, 4 Cl 3.22
Cl 0.0000 0.5000 0.3514 (multiplicity 4)  2 Sb 2.76

[18]
The following is a DFT calculation (PBE-GGA) of a geometry-optimized ThHg6 structure.

- DFT formation energy: -0.822 eV per formula unit
- ΔE to the lowest computed polymorph: 0 meV per atom

abc: 4.9962 4.9962 7.4209
angles: 90.00 90.00 90.00
With the nearest neighbours (Å) after each atom.
Space group P4/mmm (No. 123)
Asymmetric unit:
Th 0.0000 0.0000 0.0000 (multiplicity 1)  12 Hg 3.24-3.53
Hg 0.0000 0.0000 0.5000 (multiplicity 1)  8 Hg 2.99
Hg 0.0000 0.5000 0.2783 (multiplicity 4)  5 Hg 2.99-3.29, 2 Th 3.24
Hg 0.5000 0.5000 0.0000 (multiplicity 1)  8 Hg 3.24, 4 Th 3.53

[19]
The following is a DFT calculation (PBE-GGA) of a geometry-optimized Ca2MgZn3Ag12 structure.

- DFT formation energy: -0.093 eV per formula unit

abc: 9.5768 9.5768 13.6959
angles: 90.00 90.00 120.00
With the nearest neighbours (Å) after each atom.
Space group R-3m (No. 166, hexagonal axes)
Asymmetric unit:
Ca 0.0000 0.0000 0.2140 (multiplicity 6)  9 Ag 3.00-3.28, 3 Zn 3.21
Mg 0.0000 0.0000 0.5000 (multiplicity 3)  6 Ag 2.74
Zn 0.0000 0.5000 0.0000 (multiplicity 9)  2 Ag 2.68
Ag 0.0059 0.5030 0.1954 (multiplicity 18)  1 Zn 2.68, 1 Mg 2.74, 5 Ag 2.77-2.88
Ag 0.0260 0.5130 0.6036 (multiplicity 18)  6 Ag 2.77-3.08, 2 Zn 3.01, 1 Ca 3.08

[20]
The following is a DFT calculation (PBE-GGA) of a geometry-optimized BeCu2ReOs structure.

- DFT formation energy: 4.512 eV per formula unit

abc: 3.9043 3.9043 4.2556
angles: 90.00 90.00 90.00
With the nearest neighbours (Å) after each atom.
Space group P4/mmm (No. 123)
Asymmetric unit:
Be 0.0000 0.0000 0.0000 (multiplicity 1)  4 Cu 1.95, 2 Re 2.13
Cu 0.0000 0.5000 0.0000 (multiplicity 2)  2 Be 1.95
Re 0.0000 0.0000 0.5000 (multiplicity 1)  2 Be 2.13
Os 0.5000 0.5000 0.5000 (multiplicity 1)  4 Re 2.76, 8 Cu 2.89

[21]
The following is a DFT calculation (PBE-GGA) of a geometry-optimized Sm4SiBiC structure.

- E_form (uncorrected): -11.462 kcal/mol of atoms

abc: 6.9199 15.8774 6.9428
angles: 90.00 90.00 90.00
With the nearest neighbours (Å) after each atom.
Space group Cmcm (No. 63)
Asymmetric unit:
Sm 0.0000 0.0811 0.2500 (multiplicity 4)  1 C 2.59
Sm 0.0000 0.4061 0.2500 (multiplicity 4)  1 C 2.57
Sm 0.2500 0.2500 0.0000 (multiplicity 8)  2 C 2.45
Si 0.0000 0.1167 0.7500 (multiplicity 4)  9 Sm 3.14-3.52
Bi 0.0000 0.3947 0.7500 (multiplicity 4)  9 Sm 3.16-3.48
C 0.0000 0.2443 0.2500 (multiplicity 4)  6 Sm 2.45-2.59

[22]
The following is a DFT calculation (PBE-GGA) of a geometry-optimized LiTl2Pt structure.

- DFT formation energy: -0.442 eV per formula unit

abc: 3.9173 4.5377 4.5727
angles: 90.00 90.00 90.00
With the nearest neighbours (Å) after each atom.
Space group Pmmm (No. 47)
Asymmetric unit:
Li 0.0000 0.0000 0.0000 (multiplicity 1)  8 Tl 3.00-3.01, 4 Pt 3.22
Tl 0.5000 0.0000 0.5000 (multiplicity 1)  4 Pt 3.00, 4 Li 3.01, 4 Tl 3.22
Tl 0.5000 0.5000 0.0000 (multiplicity 1)  4 Li 3.00, 4 Pt 3.01, 4 Tl 3.22
Pt 0.0000 0.5000 0.5000 (multiplicity 1)  8 Tl 3.00-3.01, 4 Li 3.22

[23]
The following is a DFT calculation (PBE-GGA) of a geometry-optimized NbHRuW2 structure.

- ΔE to the lowest computed polymorph: 3 meV per atom

abc: 4.0338 4.0338 4.1031
angles: 90.00 90.00 90.00
With the nearest neighbours (Å) after each atom.
Space group P4/mmm (No. 123)
Asymmetric unit:
Nb 0.0000 0.0000 0.0000 (multiplicity 1)  4 Ru 2.85, 8 W 2.88
H 0.5000 0.5000 0.5000 (multiplicity 1)  4 W 2.02, 2 Ru 2.05
Ru 0.5000 0.5000 0.0000 (multiplicity 1)  2 H 2.05
W 0.0000 0.5000 0.5000 (multiplicity 2)  2 H 2.02

Calculated DFT total energy (eV for the cell shown), listed in the same order as above: -67.76, -50.81, -23.58, -27.05, -44.68, -95.82, -110.74, -210.95, -120.50, -19.52, -162.12, -107.04, -52.41, -103.43, -12.00, -135.79, -23.88, -10.05, -131.18, -31.08, -163.53, -13.13, -47.79